# PBE-GGA HoInTc, optimized geometry
# - ΔH_f (0 K): 0.00 eV per atom
# - Magnetic moment: 0.00 μB per formula unit
# - Raw total energy: -5.890 eV/atom
data_HoInTc
_cell_length_a 3.587
_cell_length_b 3.587
_cell_length_c 11.011
_cell_angle_alpha 90.00
_cell_angle_beta 90.00
_cell_angle_gamma 90.00
_space_group_name_H-M_alt 'P 4/n m m'
_space_group_IT_number 129
loop_
_space_group_symop_operation_xyz
'x,y,z'
'-x,-y,-z'
'-y+1/2,x,z'
'y+1/2,-x,-z'
'-x+1/2,-y+1/2,z'
'x+1/2,y+1/2,-z'
'y,-x+1/2,z'
'-y,x+1/2,-z'
'x+1/2,-y,-z'
'-x+1/2,y,z'
'-y,-x,-z'
'y,x,z'
'-x,y+1/2,-z'
'x,-y+1/2,z'
'y+1/2,x+1/2,-z'
'-y+1/2,-x+1/2,z'
loop_
_atom_site_label
_atom_site_type_symbol
_atom_site_fract_x
_atom_site_fract_y
_atom_site_fract_z
_atom_site_occupancy
Ho1 Ho 0.250 0.250 0.221 1
In1 In 0.250 0.250 0.585 1
Tc1 Tc 0.250 0.750 0.000 1



# PBE-GGA Ho8InTc2, optimized geometry
# - ΔH_f (0 K): -0.12 eV per atom
# - Magnetic moment: 0.00 μB per formula unit
# - Raw total energy: -5.583 eV/atom
# - Energy relative to the lowest polymorph listed for this composition: 0.0040 eV/atom
data_Ho8InTc2
_cell_length_a 8.712
_cell_length_b 15.706
_cell_length_c 5.321
_cell_angle_alpha 90.00
_cell_angle_beta 127.61
_cell_angle_gamma 90.00
_space_group_name_H-M_alt 'C 1 m 1'
_space_group_IT_number 8
_space_group_name_Hall 'C -2y'
loop_
_atom_site_label
_atom_site_type_symbol
_atom_site_fract_x
_atom_site_fract_y
_atom_site_fract_z
_atom_site_occupancy
Ho1 Ho 0.000 0.000 0.000 1
Ho2 Ho 0.055 0.390 0.555 1
Ho3 Ho 0.267 0.000 0.767 1
Ho4 Ho 0.384 0.209 0.885 1
Ho5 Ho 0.417 0.330 0.417 1
In1 In 0.204 0.500 0.204 1
Tc1 Tc 0.187 0.164 0.188 1



# PBE-GGA Ho3InTc, optimized geometry
# - ΔH_f (0 K): -0.24 eV per atom
# - Magnetic moment: 0.00 μB per formula unit
# - Raw total energy: -5.611 eV/atom
data_Ho3InTc
_cell_length_a 11.338
_cell_length_b 5.037
_cell_length_c 8.948
_cell_angle_alpha 90.00
_cell_angle_beta 102.79
_cell_angle_gamma 90.00
_space_group_name_H-M_alt 'C 1 2/m 1'
_space_group_IT_number 12
_space_group_name_Hall '-C 2y'
loop_
_atom_site_label
_atom_site_type_symbol
_atom_site_fract_x
_atom_site_fract_y
_atom_site_fract_z
_atom_site_occupancy
Ho1 Ho 0.069 0.000 0.341 1
Ho2 Ho 0.077 0.500 0.866 1
Ho3 Ho 0.245 0.500 0.220 1
In1 In 0.136 0.500 0.545 1
Tc1 Tc 0.109 0.000 0.031 1



# PBE-GGA Ho6In3Tc, optimized geometry
# - ΔH_f (0 K): -0.30 eV per atom
# - Magnetic moment: 0.00 μB per formula unit
# - Raw total energy: -4.907 eV/atom
data_Ho6In3Tc
_cell_length_a 9.207
_cell_length_b 5.254
_cell_length_c 11.334
_cell_angle_alpha 90.00
_cell_angle_beta 107.80
_cell_angle_gamma 90.00
_space_group_name_H-M_alt 'P 1 21/m 1'
_space_group_IT_number 11
_space_group_name_Hall '-P 2yb'
loop_
_atom_site_label
_atom_site_type_symbol
_atom_site_fract_x
_atom_site_fract_y
_atom_site_fract_z
_atom_site_occupancy
Ho1 Ho 0.040 0.250 0.415 1
Ho2 Ho 0.190 0.750 0.170 1
Ho3 Ho 0.285 0.250 0.008 1
Ho4 Ho 0.353 0.750 0.830 1
Ho5 Ho 0.376 0.250 0.342 1
Ho6 Ho 0.395 0.250 0.643 1
In1 In 0.016 0.750 0.882 1
In2 In 0.101 0.250 0.722 1
In3 In 0.273 0.750 0.476 1
Tc1 Tc 0.463 0.750 0.100 1



# PBE-GGA HoThInTc, optimized geometry
# - ΔH_f (0 K): -0.10 eV per atom
# - Magnetic moment: 0.00 μB per formula unit
# - Raw total energy: -6.375 eV/atom
data_HoThInTc
_cell_length_a 7.311
_cell_length_b 7.311
_cell_length_c 7.311
_cell_angle_alpha 90.00
_cell_angle_beta 90.00
_cell_angle_gamma 90.00
_space_group_name_H-M_alt 'F -4 3 m'
_space_group_IT_number 216
_space_group_name_Hall 'F -4 2 3'
loop_
_atom_site_label
_atom_site_type_symbol
_atom_site_fract_x
_atom_site_fract_y
_atom_site_fract_z
_atom_site_occupancy
Ho1 Ho 0.000 0.000 0.000 1
Th1 Th 0.000 0.000 0.500 1
In1 In 0.250 0.250 0.250 1
Tc1 Tc 0.250 0.250 0.750 1



# PBE-GGA Ho3Th3In2Tc, optimized geometry
# - ΔH_f (0 K): -0.27 eV per atom
# - Magnetic moment: 0.00 μB per formula unit
# - Raw total energy: -6.032 eV/atom
data_Ho3Th3In2Tc
_cell_length_a 8.7599
_cell_length_b 8.7599
_cell_length_c 3.8147
_cell_angle_alpha 90.00
_cell_angle_beta 90.00
_cell_angle_gamma 120.00
_space_group_name_H-M_alt 'P -6 2 m'
_space_group_IT_number 189
_space_group_name_Hall 'P -6 -2'
loop_
_atom_site_label
_atom_site_type_symbol
_atom_site_fract_x
_atom_site_fract_y
_atom_site_fract_z
_atom_site_occupancy
Ho1 Ho 0.0000 0.6037 0.0000 1
Th1 Th 0.0000 0.2460 0.5000 1
In1 In 0.3333 0.6667 0.5000 1
Tc1 Tc 0.0000 0.0000 0.0000 1